(1)
RbPuTeO5: optimized geometry, PBE.

Cell lengths 6.297, 6.297, 8.051 Å; angles 99.43, 99.43, 107.26 degrees
Fractional positions:
Rb1 0.170 0.830 0.750
Rb2 0.830 0.170 0.250
Pu1 0.500 0.500 0.000
Pu2 0.500 0.500 0.500
Te1 0.169 0.831 0.250
Te2 0.831 0.169 0.750
O1 0.160 0.318 0.951
O2 0.188 0.612 0.382
O3 0.318 0.160 0.451
O4 0.388 0.812 0.118
O5 0.443 0.557 0.750
O6 0.557 0.443 0.250
O7 0.612 0.188 0.882
O8 0.682 0.840 0.549
O9 0.812 0.388 0.618
O10 0.840 0.682 0.049

Calculated values
Calculated total energy   -116.6 eV for the cell shown
D(E_F)   8.94 states/eV per cell
Space-group type   C2/c
Total moment   6.00 μB per cell


(2)
Ho2ThIn3Te6: optimized geometry, PBE.

Cell lengths 7.575, 7.575, 8.632 Å; angles 98.42, 98.42, 119.99 degrees
Fractional positions:
Ho1 0.167 0.833 0.000
Ho2 0.833 0.167 0.000
Th1 0.500 0.500 0.000
In1 0.000 0.000 0.500
In2 0.335 0.665 0.500
In3 0.665 0.335 0.500
Te1 0.087 0.425 0.777
Te2 0.235 0.235 0.222
Te3 0.425 0.087 0.777
Te4 0.575 0.913 0.223
Te5 0.765 0.765 0.778
Te6 0.913 0.575 0.223

Calculated values
Calculated total energy   -54.2 eV for the cell shown
D(E_F)   4.00 states/eV per cell
Space-group type   C2/m
Total moment   0.00 μB per cell


(3)
ZrCoSb2: optimized geometry, PBE.

Cell lengths 3.395, 3.395, 7.121 Å; angles 90.00, 90.00, 104.33 degrees
Fractional positions:
Zr1 0.000 0.000 0.000
Co1 0.000 0.000 0.500
Sb1 0.500 0.500 0.286
Sb2 0.500 0.500 0.714

Calculated values
Calculated total energy   -24.2 eV for the cell shown
D(E_F)   2.94 states/eV per cell
Space-group type   Cmmm
Total moment   0.12 μB per cell


(4)
ThSiTc: optimized geometry, PBE.

Cell lengths 7.500, 7.500, 4.390 Å; angles 90.00, 90.00, 150.47 degrees
Fractional positions:
Th1 0.092 0.908 0.750
Th2 0.908 0.092 0.250
Si1 0.250 0.750 0.250
Si2 0.750 0.250 0.750
Tc1 0.355 0.645 0.750
Tc2 0.645 0.355 0.250

Calculated values
Calculated total energy   -48.1 eV for the cell shown
D(E_F)   3.60 states/eV per cell
Space-group type   Cmcm
Energy relative to the lowest polymorph listed for this composition   1.05 eV/f.u.
Total moment   0.00 μB per cell


(5)
ScInCuNi: optimized geometry, PBE.

Cell lengths 4.495, 4.495, 4.495 Å; angles 60.00, 60.00, 60.00 degrees
Fractional positions:
Sc1 0.000 0.000 0.000
In1 0.500 0.500 0.500
Cu1 0.250 0.250 0.250
Ni1 0.750 0.750 0.750

Calculated values
Calculated total energy   -20.4 eV for the cell shown
D(E_F)   2.94 states/eV per cell
Space-group type   F-43m
Total moment   0.00 μB per cell
Formation enthalpy at 0 K   -363 meV per atom


(6)
Ce2SmErS5: optimized geometry, PBE.

Cell lengths 4.865, 4.865, 10.431 Å; angles 90.00, 90.00, 90.00 degrees
Fractional positions:
Ce1 0.000 0.000 0.196
Ce2 0.000 0.000 0.804
Sm1 0.500 0.500 0.500
Er1 0.500 0.500 0.000
S1 0.000 0.000 0.500
S2 0.000 0.500 0.000
S3 0.500 0.000 0.000
S4 0.500 0.500 0.251
S5 0.500 0.500 0.749

Calculated values
Calculated total energy   -55.4 eV for the cell shown
D(E_F)   18.12 states/eV per cell
Space-group type   P4/mmm
Total moment   3.35 μB per cell